1.
This record from Alexandria describes a relaxed BeBiIrPb2 crystal. The functional is GGA-PBE.

abc: 6.028 5.003 6.028
angles: 90.00 90.00 90.00
Atoms (fractional coordinates):
Be  0.500  0.500  0.500
Pb  0.000  0.000  0.500
Pb  0.500  0.000  0.000
Bi  0.000  0.000  0.000
Ir  0.000  0.500  0.000

Calculated values
Space-group type: P4/mmm (123)
Formation energy: 1.5318 eV/atom
E_tot: -3.245 eV per atom

=====

2.
This record from Alexandria describes a relaxed Be2BiIrPd crystal. The functional is GGA-PBE.

abc: 4.221 5.167 4.221
angles: 90.00 90.00 90.00
Atoms (fractional coordinates):
Bi  0.500  0.500  0.500
Pd  0.000  0.500  0.000
Be  0.000  0.000  0.500
Ir  0.000  0.000  0.000
Be  0.500  0.000  0.000

Calculated values
Space-group type: P4/mmm (123)
Formation energy: 0.4123 eV/atom
E_tot: -4.665 eV per atom

=====

3.
This record from Alexandria describes a relaxed BeBiIr2Pt crystal. The functional is GGA-PBE.

abc: 4.837 5.300 4.837
angles: 90.00 90.00 90.00
Each line ends with the local moment (μB).
Atoms (fractional coordinates):
Ir  0.500  0.000  0.000  0.06
Pt  0.000  0.000  0.000  0.06
Ir  0.000  0.000  0.500  0.14
Bi  0.000  0.500  0.000  0.00
Be  0.500  0.500  0.500  0.00

Calculated values
Space-group type: P4/mmm (123)
Formation energy: 1.8535 eV/atom
E_tot: -4.420 eV per atom

=====

Number 1: D(E_F) 0.5644 states/eV/atom. Number 2: D(E_F) 0.8146 states/eV/atom. Number 3: D(E_F) 1.6961 states/eV/atom.